VPd5Pt | PBE | relaxed

Computed properties:
- calculated volume (Å³/atom) = 15.9
- Fermi-level density of states (states/eV/cell) = 4.3
- VASP energy (hartree per atom) = -0.2172
- density (g/cm³) = 11.58
- calculated formation energy (eV/atom) = -0.04

Lattice parameters (Å, degrees): 3.900 3.900 7.338 90.00 90.00 90.00
Fractional positions:
Pd: 0.500 0.000 0.785
Pt: 0.000 0.000 0.500
V: 0.500 0.500 0.000
Pd: 0.000 0.500 0.785
Pd: 0.500 0.500 0.500
Pd: 0.500 0.000 0.215
Pd: 0.000 0.500 0.215

---

Cs2EuAu4 | PBE | relaxed

Computed properties:
- calculated volume (Å³/atom) = 45.1
- Fermi-level density of states (states/eV/cell) = 15.1
- VASP energy (hartree per atom) = -0.1416
- density (g/cm³) = 6.34
- calculated formation energy (eV/atom) = -0.27

Lattice parameters (Å, degrees): 5.865 5.865 10.071 73.07 73.07 90.00
Fractional positions:
Cs: 0.640 0.640 0.720
Au: 0.000 0.500 0.000
Cs: 0.360 0.360 0.280
Au: 0.162 0.162 0.676
Au: 0.500 0.000 0.000
Au: 0.838 0.838 0.324
Eu: 0.000 0.000 0.000

---

LaAl3Au6 | PBE | relaxed

Computed properties:
- calculated volume (Å³/atom) = 20.0
- Fermi-level density of states (states/eV/cell) = 3.2
- VASP energy (hartree per atom) = -0.1502
- density (g/cm³) = 11.65
- calculated formation energy (eV/atom) = -0.51

Lattice parameters (Å, degrees): 7.318 7.091 6.844 101.32 111.82 129.98
Fractional positions:
Au: 0.424 0.301 0.215
Au: 0.951 0.266 0.404
Al: 0.034 0.975 0.286
Au: 0.305 0.807 0.258
Al: 0.386 0.740 0.934
Au: 0.452 0.431 0.835
Al: 0.735 0.335 0.064
Au: 0.154 0.825 0.597
Au: 0.796 0.422 0.716
La: 0.761 0.898 0.691

---

Ba2SrTi | PBE | relaxed

Computed properties:
- calculated volume (Å³/atom) = 45.0
- Fermi-level density of states (states/eV/cell) = 13.0
- VASP energy (hartree per atom) = -0.1015
- density (g/cm³) = 3.79
- calculated formation energy (eV/atom) = 0.59

Lattice parameters (Å, degrees): 6.336 6.336 6.336 60.00 60.00 60.00
Fractional positions:
Ba: 0.750 0.750 0.750
Ba: 0.250 0.250 0.250
Ti: 0.000 0.000 0.000
Sr: 0.500 0.500 0.500

---

Dy8Tm3Th | PBE | relaxed

Computed properties:
- calculated volume (Å³/atom) = 37.4
- Fermi-level density of states (states/eV/cell) = 15.4
- VASP energy (hartree per atom) = -0.1487
- density (g/cm³) = 7.54
- calculated formation energy (eV/atom) = 0.76

Lattice parameters (Å, degrees): 7.646 7.646 9.396 114.01 114.01 90.00
Fractional positions:
Dy: 0.875 0.875 0.250
Dy: 0.875 0.375 0.250
Th: 0.000 0.000 0.000
Dy: 0.125 0.625 0.750
Dy: 0.375 0.875 0.250
Tm: 0.500 0.500 0.000
Dy: 0.375 0.375 0.250
Tm: 0.750 0.250 0.500
Dy: 0.625 0.125 0.750
Dy: 0.125 0.125 0.750
Tm: 0.250 0.750 0.500
Dy: 0.625 0.625 0.750

---

Ba3HoPt2O6 | PBE | relaxed

Computed properties:
- E_form (uncorrected) (meV per atom) = -1765.4
- calculated volume (Å³/atom) = 18.0
- Fermi-level density of states (states/eV/cell) = 8.7
- VASP energy (hartree per atom) = -0.2247
- density (g/cm³) = 8.15

Lattice parameters (Å, degrees): 5.988 5.988 6.973 90.00 90.00 120.00
Fractional positions:
Pt: 0.667 0.333 0.861
Pt: 0.333 0.667 0.139
O: 0.169 0.831 0.311
O: 0.831 0.661 0.689
O: 0.339 0.169 0.689
Ba: 0.000 0.000 0.000
O: 0.169 0.339 0.311
Ba: 0.333 0.667 0.652
O: 0.831 0.169 0.689
Ba: 0.667 0.333 0.348
O: 0.661 0.831 0.311
Ho: 0.000 0.000 0.500

---

NdZn2Pt3 | PBE | relaxed

Computed properties:
- calculated volume (Å³/atom) = 18.7
- Fermi-level density of states (states/eV/cell) = 5.2
- VASP energy (hartree per atom) = -0.1814
- density (g/cm³) = 12.74
- calculated formation energy (eV/atom) = -0.70

Lattice parameters (Å, degrees): 5.537 6.429 6.429 78.45 90.00 90.00
Fractional positions:
Pt: 0.250 0.017 0.983
Pt: 0.750 0.557 0.156
Zn: 0.500 0.780 0.780
Pt: 0.750 0.844 0.443
Zn: 0.000 0.220 0.220
Nd: 0.250 0.664 0.336
Nd: 0.750 0.336 0.664
Zn: 0.500 0.220 0.220
Pt: 0.250 0.156 0.557
Zn: 0.000 0.780 0.780
Pt: 0.750 0.983 0.017
Pt: 0.250 0.443 0.844

---

K3NiI | PBE | relaxed

Computed properties:
- E_form (uncorrected) (meV per atom) = -97.8
- calculated volume (Å³/atom) = 43.7
- Fermi-level density of states (states/eV/cell) = 6.7
- VASP energy (hartree per atom) = -0.0817
- density (g/cm³) = 2.30

Lattice parameters (Å, degrees): 6.025 6.025 6.025 90.00 90.00 90.00
Fractional positions:
K: 0.000 0.500 0.000
Ni: 0.000 0.000 0.000
K: 0.000 0.000 0.500
I: 0.500 0.500 0.500
K: 0.500 0.000 0.000

---

Q: Number 5 is which compound?
A: Dy8Tm3Th

---

Q: The highest density belongs to which entry?
A: NdZn2Pt3

---

Q: Look up the VASP energy of the eighth one.
A: -0.0817 hartree per atom